Record 1
Compound: Tl3HgMo
Source: the Alexandria database
Functional: meta-GGA SCAN
Structure: PBEsol geometry

Its theoretical density is 10.0 g/cm3. The value obtained for the formation energy is 0.548 eV/atom.

Geometry as CIF:
```
data_Tl3HgMo
_symmetry_space_group_name_H-M 'P 1'
_symmetry_Int_Tables_number 1
_symmetry_space_group_name_Hall 'P 1'
_cell_length_a 5.324
_cell_length_b 5.324
_cell_length_c 5.324
_cell_angle_alpha 90.00
_cell_angle_beta 90.00
_cell_angle_gamma 90.00
loop_
_atom_site_label
_atom_site_type_symbol
_atom_site_fract_x
_atom_site_fract_y
_atom_site_fract_z
_atom_site_occupancy
Tl1 Tl 0.000 0.000 0.500 1
Tl2 Tl 0.000 0.500 0.000 1
Tl3 Tl 0.500 0.000 0.000 1
Hg1 Hg 0.500 0.500 0.500 1
Mo1 Mo 0.000 0.000 0.000 1
```

---

Record 2
Compound: TlHgMo
Source: the Alexandria database
Functional: meta-GGA SCAN
Structure: PBEsol geometry

Its theoretical density is 12.0 g/cm3. The value obtained for the formation energy is 1.074 eV/atom.

Geometry as CIF:
```
data_TlHgMo
_symmetry_space_group_name_H-M 'P 1'
_symmetry_Int_Tables_number 1
_symmetry_space_group_name_Hall 'P 1'
_cell_length_a 4.614
_cell_length_b 4.614
_cell_length_c 4.614
_cell_angle_alpha 60.00
_cell_angle_beta 60.00
_cell_angle_gamma 60.00
loop_
_atom_site_label
_atom_site_type_symbol
_atom_site_fract_x
_atom_site_fract_y
_atom_site_fract_z
_atom_site_occupancy
Tl1 Tl 0.000 0.000 0.000 1
Hg1 Hg 0.750 0.750 0.750 1
Mo1 Mo 0.250 0.250 0.250 1
```